# Li3CeCr4O12 PBE+U relaxed
# E_tot: -276.99 eV per cell
data_Li3CeCr4O12
_chemical_formula_sum 'Li6 Ce2 Cr8 O24'
_cell_length_a 7.343
_cell_length_b 7.343
_cell_length_c 7.343
_cell_angle_alpha 90.00
_cell_angle_beta 90.00
_cell_angle_gamma 90.00
_symmetry_space_group_name_H-M 'I m -3'
_symmetry_Int_Tables_number 204
_symmetry_space_group_name_Hall '-I 2 2 3'
loop_
_atom_site_label
_atom_site_type_symbol
_atom_site_fract_x
_atom_site_fract_y
_atom_site_fract_z
_atom_site_occupancy
Li1 Li 0.000 0.000 0.500 1
Ce1 Ce 0.000 0.000 0.000 1
Cr1 Cr 0.250 0.250 0.250 1
O1 O 0.000 0.291 0.182 1